Entry from Alexandria via LeMat-Bulk: CeErTm2N4 after structural relaxation (GGA-PBE).

a = 3.452 Å, b = 5.967 Å, c = 5.968 Å
α = 109.29°, β = 90.00°, γ = 90.00°
Site moments in Bohr magnetons follow the coordinates.
Element x y z (fractional)
N (0.500, 0.251, 0.251)  0.00
N (0.500, 0.749, 0.749)  0.00
N (0.000, 0.754, 0.255)  0.00
N (0.000, 0.246, 0.745)  0.00
Tm (0.500, 0.000, 0.500)  0.00
Tm (0.000, 0.500, 0.500)  0.01
Ce (0.500, 0.500, 0.000)  0.12
Er (0.000, 0.000, 0.000)  0.01

Values from the calculation:
calculated total energy: -66.5 eV for the cell shown
density of states at the Fermi level: 0.4197 states/eV/atom
crystal system: monoclinic